Below is a relaxed structure of V3WF, with properties calculated at the PBE with a Hubbard U level.

Cell lengths 5.0340, 5.0340, 5.0340 Å; angles 90.00, 90.00, 90.00 degrees
With the nearest neighbours (Å) after each atom.
Fractional positions:
V: 0.0000 0.5000 0.0000  2 W 2.52
V: 0.5000 0.0000 0.0000  2 W 2.52
V: 0.0000 0.0000 0.5000  2 W 2.52
W: 0.0000 0.0000 0.0000  6 V 2.52
F: 0.5000 0.5000 0.5000  12 V 3.56

Size of the total moment (μB per atom): 1.39
Distance to the lowest polymorph of the same formula (kJ per mole of atoms): 114.9
E (eV per cell): -22.7